Compound: MgScNbRe
Source: Alexandria
Functional: GGA-PBE
Structure: relaxed

Unit cell a=4.6624 b=4.6624 c=4.6624 alpha=60.00 beta=60.00 gamma=60.00
Fractional coordinates of all 4 atoms:
1 Sc 0.0000 0.0000 0.0000
2 Nb 0.5000 0.5000 0.5000
3 Mg 0.2500 0.2500 0.2500
4 Re 0.7500 0.7500 0.7500

Volume: 17.9 Å³ per atom
M_tot: 0.00 μB/f.u.
E_form: -0.03 eV/atom

=====

Compound: SrMgNbRe2
Source: Alexandria
Functional: GGA-PBE
Structure: relaxed

Unit cell a=4.8416 b=5.3287 c=4.8416 alpha=90.00 beta=90.00 gamma=90.00
Fractional coordinates of all 5 atoms:
1 Re 0.0000 0.0000 0.5000
2 Re 0.5000 0.0000 0.0000
3 Nb 0.0000 0.0000 0.0000
4 Mg 0.0000 0.5000 0.0000
5 Sr 0.5000 0.5000 0.5000

Volume: 25.0 Å³ per atom
M_tot: 0.60 μB/f.u.
E_form: 1.27 eV/atom

=====

Compound: Mg2NbReW
Source: Alexandria
Functional: GGA-PBE
Structure: relaxed

Unit cell a=4.8992 b=4.5489 c=4.8992 alpha=90.00 beta=90.00 gamma=90.00
Fractional coordinates of all 5 atoms:
1 W 0.5000 0.5000 0.5000
2 Mg 0.0000 0.0000 0.5000
3 Mg 0.5000 0.0000 0.0000
4 Nb 0.0000 0.0000 0.0000
5 Re 0.0000 0.5000 0.0000

Volume: 21.8 Å³ per atom
M_tot: 0.00 μB/f.u.
E_form: 2.22 eV/atom

=====

Compound: MgZrNbRe
Source: Alexandria
Functional: GGA-PBE
Structure: relaxed

Unit cell a=4.7006 b=4.7006 c=4.7006 alpha=60.00 beta=60.00 gamma=60.00
Fractional coordinates of all 4 atoms:
1 Mg 0.7500 0.7500 0.7500
2 Zr 0.5000 0.5000 0.5000
3 Nb 0.0000 0.0000 0.0000
4 Re 0.2500 0.2500 0.2500

Volume: 18.4 Å³ per atom
M_tot: 0.00 μB/f.u.
E_form: 0.01 eV/atom

=====

no.,VASP energy (eV per cell)
1,-30.555
2,-31.904
3,-27.568
4,-32.628